<i>
A geometry-optimized Tb2DyBi structure, computed with PBE.

```
data_Tb2DyBi
_chemical_formula_sum 'Tb2 Dy1 Bi1'
_cell_length_a 4.8640
_cell_length_b 4.8640
_cell_length_c 4.8693
_cell_angle_alpha 90.00
_cell_angle_beta 90.00
_cell_angle_gamma 90.00
_symmetry_space_group_name_H-M 'P 4/m m m'
_symmetry_Int_Tables_number 123
_symmetry_space_group_name_Hall '-P 4 2'
loop_
_atom_site_label
_atom_site_type_symbol
_atom_site_fract_x
_atom_site_fract_y
_atom_site_fract_z
_atom_site_occupancy
Tb1 Tb 0.0000 0.5000 0.0000 1
Dy1 Dy 0.0000 0.0000 0.5000 1
Bi1 Bi 0.5000 0.5000 0.5000 1
```

---

<ii>
A geometry-optimized Tb2DyBi structure, computed with PBE.

```
data_Tb2DyBi
_chemical_formula_sum 'Tb4 Dy2 Bi2'
_cell_length_a 4.6380
_cell_length_b 4.6004
_cell_length_c 11.6513
_cell_angle_alpha 90.00
_cell_angle_beta 101.50
_cell_angle_gamma 90.00
_symmetry_space_group_name_H-M 'P 1 21/m 1'
_symmetry_Int_Tables_number 11
loop_
_symmetry_equiv_pos_as_xyz
'x,y,z'
'-x,-y,-z'
'-x,y+1/2,-z'
'x,-y+1/2,z'
loop_
_atom_site_label
_atom_site_type_symbol
_atom_site_fract_x
_atom_site_fract_y
_atom_site_fract_z
_atom_site_occupancy
Tb1 Tb 0.0594 0.2500 0.1189 1
Tb2 Tb 0.4381 0.2500 0.8764 1
Dy1 Dy 0.3078 0.7500 0.6168 1
Bi1 Bi 0.1707 0.7500 0.3396 1
```

---

<iii>
A geometry-optimized Tb2DyBi structure, computed with PBE.

```
data_Tb2DyBi
_chemical_formula_sum 'Tb6 Dy3 Bi3'
_cell_length_a 3.5395
_cell_length_b 3.5395
_cell_length_c 36.1758
_cell_angle_alpha 90.00
_cell_angle_beta 90.00
_cell_angle_gamma 120.00
_symmetry_space_group_name_H-M 'R -3 m'
_symmetry_Int_Tables_number 166
_symmetry_space_group_name_Hall '-R 3 2"'
loop_
_atom_site_label
_atom_site_type_symbol
_atom_site_fract_x
_atom_site_fract_y
_atom_site_fract_z
_atom_site_occupancy
Tb1 Tb 0.0000 0.0000 0.0875 1
Dy1 Dy 0.0000 0.0000 0.5000 1
Bi1 Bi 0.0000 0.0000 0.0000 1
```

---

It is <ii> that is most stable; the runner-up trails by 62 meV/atom.

---

<i>
A geometry-optimized Tb3DyBi2 structure, computed with PBE.

```
data_Tb3DyBi2
_chemical_formula_sum 'Tb12 Dy4 Bi8'
_cell_length_a 18.6021
_cell_length_b 4.3337
_cell_length_c 10.0368
_cell_angle_alpha 90.00
_cell_angle_beta 114.15
_cell_angle_gamma 90.00
_symmetry_space_group_name_H-M 'C 1 2/m 1'
_symmetry_Int_Tables_number 12
loop_
_symmetry_equiv_pos_as_xyz
'x,y,z'
'-x,-y,-z'
'-x,y,-z'
'x,-y,z'
'x+1/2,y+1/2,z'
'-x+1/2,-y+1/2,-z'
'-x+1/2,y+1/2,-z'
'x+1/2,-y+1/2,z'
loop_
_atom_site_label
_atom_site_type_symbol
_atom_site_fract_x
_atom_site_fract_y
_atom_site_fract_z
_atom_site_occupancy
Tb1 Tb 0.0557 0.0000 0.1700 1
Tb2 Tb 0.1417 0.5000 0.9775 1
Tb3 Tb 0.1878 0.5000 0.3915 1
Dy1 Dy 0.1098 0.0000 0.6084 1
Bi1 Bi 0.0074 0.5000 0.3423 1
Bi2 Bi 0.2482 0.5000 0.7811 1
```

---

<ii>
A geometry-optimized Tb3DyBi2 structure, computed with PBE.

```
data_Tb3DyBi2
_chemical_formula_sum 'Tb3 Dy1 Bi2'
_cell_length_a 4.5577
_cell_length_b 4.5577
_cell_length_c 8.6632
_cell_angle_alpha 90.00
_cell_angle_beta 90.00
_cell_angle_gamma 90.00
_symmetry_space_group_name_H-M 'P -4 m 2'
_symmetry_Int_Tables_number 115
loop_
_symmetry_equiv_pos_as_xyz
'x,y,z'
'y,-x,-z'
'-x,-y,z'
'-y,x,-z'
'-x,y,z'
'-y,-x,-z'
'x,-y,z'
'y,x,-z'
loop_
_atom_site_label
_atom_site_type_symbol
_atom_site_fract_x
_atom_site_fract_y
_atom_site_fract_z
_atom_site_occupancy
Tb1 Tb 0.0000 0.0000 0.0000 1
Tb2 Tb 0.0000 0.5000 0.6528 1
Dy1 Dy 0.5000 0.5000 0.0000 1
Bi1 Bi 0.0000 0.5000 0.2832 1
```

---

It is <ii> that is most stable; the runner-up trails by 120 meV/atom.